A:
Computed, not measured: an optimized crystal structure of PmErSc3 at the GGA-PBE level of DFT.

Unit cell a=8.747 b=5.976 c=11.638 alpha=90.00 beta=114.64 gamma=90.00
Fractional positions:
Pm 0.157 0.168 0.103
Pm 0.157 0.332 0.603
Pm 0.843 0.668 0.397
Pm 0.843 0.832 0.897
Er 0.259 0.661 0.000
Er 0.259 0.839 0.500
Er 0.741 0.161 0.500
Er 0.741 0.339 0.000
Sc 0.052 0.666 0.204
Sc 0.052 0.834 0.704
Sc 0.353 0.161 0.900
Sc 0.353 0.339 0.400
Sc 0.448 0.675 0.800
Sc 0.448 0.825 0.300
Sc 0.552 0.175 0.700
Sc 0.552 0.325 0.200
Sc 0.647 0.661 0.600
Sc 0.647 0.839 0.100
Sc 0.948 0.166 0.296
Sc 0.948 0.334 0.796

---

B:
Computed, not measured: an optimized crystal structure of PmErSc3 at the GGA-PBE level of DFT.

Unit cell a=6.283 b=6.283 c=8.427 alpha=105.40 beta=105.40 gamma=63.71
Fractional positions:
Pm 0.061 0.061 0.229
Pm 0.939 0.939 0.771
Er 0.286 0.286 0.998
Er 0.714 0.714 0.002
Sc 0.094 0.599 0.386
Sc 0.401 0.906 0.614
Sc 0.433 0.433 0.723
Sc 0.567 0.567 0.277
Sc 0.599 0.094 0.386
Sc 0.906 0.401 0.614

---

Which one sits at the top of the stability order? A does.

---

A:
Computed, not measured: an optimized crystal structure of Pm2Er4Sc at the GGA-PBE level of DFT.

Unit cell a=6.627 b=8.760 c=8.761 alpha=81.68 beta=67.79 gamma=67.79
Fractional positions:
Pm 0.000 0.000 0.000
Pm 0.014 0.500 0.500
Pm 0.114 0.527 0.030
Pm 0.671 0.472 0.971
Er 0.222 0.760 0.255
Er 0.237 0.240 0.745
Er 0.363 0.664 0.658
Er 0.366 0.152 0.162
Er 0.671 0.751 0.261
Er 0.678 0.848 0.840
Er 0.684 0.248 0.739
Er 0.685 0.335 0.343
Sc 0.125 0.023 0.524
Sc 0.671 0.977 0.477

---

B:
Computed, not measured: an optimized crystal structure of Pm2Er4Sc at the GGA-PBE level of DFT.

Unit cell a=19.920 b=19.920 c=19.920 alpha=10.20 beta=10.20 gamma=10.20
Fractional positions:
Pm 0.192 0.192 0.192
Pm 0.808 0.808 0.808
Er 0.092 0.092 0.092
Er 0.378 0.378 0.378
Er 0.622 0.622 0.622
Er 0.908 0.908 0.908
Sc 0.000 0.000 0.000

---

Which one sits at the top of the stability order? B does.

---

A:
Computed, not measured: an optimized crystal structure of PmEr2Sc at the GGA-PBE level of DFT.

Unit cell a=5.550 b=5.550 c=5.550 alpha=60.00 beta=60.00 gamma=60.00
Fractional positions:
Pm 0.000 0.000 0.000
Er 0.250 0.250 0.250
Er 0.750 0.750 0.750
Sc 0.500 0.500 0.500

---

B:
Computed, not measured: an optimized crystal structure of PmEr2Sc at the GGA-PBE level of DFT.

Unit cell a=3.513 b=3.513 c=11.398 alpha=98.87 beta=98.87 gamma=59.97
Fractional positions:
Pm 0.000 0.000 0.000
Er 0.419 0.419 0.261
Er 0.577 0.577 0.735
Sc 0.165 0.165 0.497

---

Which one sits at the top of the stability order? B does.

---

A:
Computed, not measured: an optimized crystal structure of PmEr2Sc at the GGA-PBE level of DFT.

Unit cell a=6.577 b=6.577 c=6.577 alpha=148.56 beta=65.00 gamma=124.71
Fractional positions:
Pm 0.000 0.000 0.000
Er 0.410 0.653 0.757
Er 0.896 0.653 0.243
Sc 0.492 0.992 0.500

---

B:
Computed, not measured: an optimized crystal structure of PmEr2Sc at the GGA-PBE level of DFT.

Unit cell a=11.475 b=11.475 c=11.475 alpha=17.52 beta=17.52 gamma=17.52
Fractional positions:
Pm 0.000 0.000 0.000
Er 0.246 0.246 0.246
Er 0.754 0.754 0.754
Sc 0.500 0.500 0.500

---

Which one sits at the top of the stability order? A does.

---

A:
Computed, not measured: an optimized crystal structure of PmErSc2 at the GGA-PBE level of DFT.

Unit cell a=5.429 b=5.429 c=5.429 alpha=60.00 beta=60.00 gamma=60.00
Fractional positions:
Pm 0.000 0.000 0.000
Er 0.500 0.500 0.500
Sc 0.250 0.250 0.250
Sc 0.750 0.750 0.750

---

B:
Computed, not measured: an optimized crystal structure of PmErSc2 at the GGA-PBE level of DFT.

Unit cell a=4.915 b=4.915 c=4.674 alpha=90.00 beta=90.00 gamma=90.00
Fractional positions:
Pm 0.000 0.000 0.000
Er 0.500 0.500 0.000
Sc 0.000 0.500 0.500
Sc 0.500 0.000 0.500

---

Which one sits at the top of the stability order? B does.

---

A:
Computed, not measured: an optimized crystal structure of PmErSc2 at the GGA-PBE level of DFT.

Unit cell a=6.659 b=8.063 c=8.615 alpha=90.00 beta=90.02 gamma=90.00
Fractional positions:
Pm 0.127 0.034 0.318
Pm 0.127 0.466 0.818
Pm 0.873 0.534 0.182
Pm 0.873 0.966 0.682
Er 0.376 0.520 0.181
Er 0.376 0.980 0.681
Er 0.624 0.020 0.319
Er 0.624 0.480 0.819
Sc 0.130 0.667 0.490
Sc 0.130 0.833 0.990
Sc 0.381 0.167 0.007
Sc 0.381 0.333 0.507
Sc 0.619 0.667 0.493
Sc 0.619 0.833 0.993
Sc 0.870 0.167 0.010
Sc 0.870 0.333 0.510

---

B:
Computed, not measured: an optimized crystal structure of PmErSc2 at the GGA-PBE level of DFT.

Unit cell a=11.160 b=11.160 c=11.160 alpha=17.72 beta=17.72 gamma=17.72
Fractional positions:
Pm 0.000 0.000 0.000
Er 0.500 0.500 0.500
Sc 0.249 0.249 0.249
Sc 0.751 0.751 0.751

---

C:
Computed, not measured: an optimized crystal structure of PmErSc2 at the GGA-PBE level of DFT.

Unit cell a=3.492 b=4.621 c=6.993 alpha=90.00 beta=90.12 gamma=90.00
Fractional positions:
Pm 0.000 0.000 0.000
Er 0.000 0.000 0.500
Sc 0.500 0.500 0.255
Sc 0.500 0.500 0.745

---

Which one sits at the top of the stability order? C does.

---

A:
Computed, not measured: an optimized crystal structure of Pm4Er3Sc at the GGA-PBE level of DFT.

Unit cell a=11.347 b=7.234 c=6.227 alpha=90.00 beta=90.00 gamma=90.00
Fractional positions:
Pm 0.000 0.129 0.000
Pm 0.000 0.869 0.519
Pm 0.242 0.131 0.350
Pm 0.258 0.869 0.850
Pm 0.500 0.131 0.019
Pm 0.500 0.871 0.500
Pm 0.742 0.869 0.850
Pm 0.758 0.131 0.350
Er 0.000 0.621 0.014
Er 0.250 0.381 0.843
Er 0.250 0.619 0.343
Er 0.500 0.379 0.514
Er 0.750 0.381 0.843
Er 0.750 0.619 0.343
Sc 0.000 0.384 0.510
Sc 0.500 0.616 0.010

---

B:
Computed, not measured: an optimized crystal structure of Pm4Er3Sc at the GGA-PBE level of DFT.

Unit cell a=13.495 b=13.495 c=13.495 alpha=164.42 beta=156.88 gamma=28.01
Fractional positions:
Pm 0.095 0.095 0.000
Pm 0.218 0.218 0.000
Pm 0.782 0.782 0.000
Pm 0.905 0.905 0.000
Er 0.360 0.360 0.000
Er 0.500 0.000 0.500
Er 0.640 0.640 0.000
Sc 0.000 0.500 0.500

---

Which one sits at the top of the stability order? A does.

---

A:
Computed, not measured: an optimized crystal structure of Pm12Er7Sc at the GGA-PBE level of DFT.

Unit cell a=9.335 b=9.335 c=9.335 alpha=107.84 beta=107.84 gamma=107.84
Fractional positions:
Pm 0.096 0.443 0.204
Pm 0.118 0.282 0.823
Pm 0.177 0.882 0.718
Pm 0.204 0.096 0.443
Pm 0.282 0.823 0.118
Pm 0.443 0.204 0.096
Pm 0.557 0.796 0.904
Pm 0.718 0.177 0.882
Pm 0.796 0.904 0.557
Pm 0.823 0.118 0.282
Pm 0.882 0.718 0.177
Pm 0.904 0.557 0.796
Er 0.000 0.000 0.000
Er 0.186 0.494 0.601
Er 0.399 0.814 0.506
Er 0.494 0.601 0.186
Er 0.506 0.399 0.814
Er 0.601 0.186 0.494
Er 0.814 0.506 0.399
Sc 0.500 0.500 0.500

---

B:
Computed, not measured: an optimized crystal structure of Pm12Er7Sc at the GGA-PBE level of DFT.

Unit cell a=11.458 b=11.458 c=11.458 alpha=116.87 beta=116.87 gamma=116.87
Fractional positions:
Pm 0.000 0.414 0.587
Pm 0.000 0.586 0.413
Pm 0.080 0.081 0.433
Pm 0.081 0.433 0.080
Pm 0.413 0.000 0.586
Pm 0.414 0.587 0.000
Pm 0.433 0.080 0.081
Pm 0.567 0.920 0.919
Pm 0.586 0.413 0.000
Pm 0.587 0.000 0.414
Pm 0.919 0.567 0.920
Pm 0.920 0.919 0.567
Er 0.000 0.000 0.000
Er 0.140 0.381 0.380
Er 0.380 0.140 0.381
Er 0.381 0.380 0.140
Er 0.619 0.620 0.860
Er 0.620 0.860 0.619
Er 0.860 0.619 0.620
Sc 0.500 0.500 0.500

---

Which one sits at the top of the stability order? A does.

---

A:
Computed, not measured: an optimized crystal structure of PmEr4Sc4 at the GGA-PBE level of DFT.

Unit cell a=6.749 b=6.749 c=11.760 alpha=90.00 beta=90.00 gamma=90.00
Fractional positions:
Pm 0.250 0.750 0.250
Pm 0.750 0.250 0.750
Er 0.009 0.250 0.024
Er 0.250 0.009 0.524
Er 0.250 0.491 0.524
Er 0.491 0.250 0.024
Er 0.509 0.750 0.976
Er 0.750 0.509 0.476
Er 0.750 0.991 0.476
Er 0.991 0.750 0.976
Sc 0.032 0.250 0.307
Sc 0.250 0.032 0.807
Sc 0.250 0.468 0.807
Sc 0.468 0.250 0.307
Sc 0.532 0.750 0.693
Sc 0.750 0.532 0.193
Sc 0.750 0.968 0.193
Sc 0.968 0.750 0.693

---

B:
Computed, not measured: an optimized crystal structure of PmEr4Sc4 at the GGA-PBE level of DFT.

Unit cell a=7.632 b=7.632 c=7.632 alpha=95.75 beta=95.75 gamma=143.09
Fractional positions:
Pm 0.000 0.000 0.000
Er 0.331 0.331 0.662
Er 0.331 0.669 0.000
Er 0.669 0.331 0.000
Er 0.669 0.669 0.338
Sc 0.000 0.341 0.341
Sc 0.000 0.659 0.659
Sc 0.341 0.000 0.341
Sc 0.659 0.000 0.659

---

Which one sits at the top of the stability order? B does.

---

A:
Computed, not measured: an optimized crystal structure of Pm2Er5Sc at the GGA-PBE level of DFT.

Unit cell a=9.740 b=9.740 c=9.205 alpha=104.04 beta=104.04 gamma=35.92
Fractional positions:
Pm 0.051 0.706 0.876
Pm 0.294 0.949 0.624
Pm 0.706 0.051 0.376
Pm 0.949 0.294 0.124
Er 0.106 0.514 0.188
Er 0.175 0.825 0.250
Er 0.267 0.601 0.561
Er 0.399 0.733 0.939
Er 0.486 0.894 0.312
Er 0.514 0.106 0.688
Er 0.601 0.267 0.061
Er 0.733 0.399 0.439
Er 0.825 0.175 0.750
Er 0.894 0.486 0.812
Sc 0.000 0.500 0.500
Sc 0.500 0.000 0.000

---

B:
Computed, not measured: an optimized crystal structure of Pm2Er5Sc at the GGA-PBE level of DFT.

Unit cell a=7.029 b=14.063 c=4.956 alpha=90.00 beta=90.00 gamma=90.00
Fractional positions:
Pm 0.246 0.123 0.000
Pm 0.254 0.623 0.000
Pm 0.746 0.377 0.000
Pm 0.754 0.877 0.000
Er 0.000 0.500 0.500
Er 0.003 0.752 0.500
Er 0.248 0.376 0.000
Er 0.252 0.876 0.000
Er 0.497 0.252 0.500
Er 0.500 0.000 0.500
Er 0.503 0.748 0.500
Er 0.748 0.124 0.000
Er 0.752 0.624 0.000
Er 0.997 0.248 0.500
Sc 0.000 0.000 0.500
Sc 0.500 0.500 0.500

---

Which one sits at the top of the stability order? B does.